Entry 1:
The following is a PBE-GGA calculation of an optimized crystal structure of Rb2YErTe4, from the Open Quantum Materials Database.

Results
The calculation puts the total energy at -4.57 eV per atom.

Unit cell a=4.500 b=4.500 c=17.087 alpha=90.00 beta=90.00 gamma=120.00
Element x y z (fractional)
Er1 0.000 0.000 0.500
Rb1 0.667 0.333 0.251
Rb2 0.333 0.667 0.749
Te1 0.333 0.667 0.101
Te2 0.333 0.667 0.401
Te3 0.667 0.333 0.599
Te4 0.667 0.333 0.899
Y1 0.000 0.000 0.000


Entry 2:
The following is a PBE-GGA calculation of an optimized crystal structure of RbErTh, from the Open Quantum Materials Database.

Results
The calculation puts the total energy at -2.85 eV per atom.

Unit cell a=5.818 b=5.818 c=5.818 alpha=60.00 beta=60.00 gamma=60.00
Element x y z (fractional)
Er1 0.000 0.000 0.000
Rb1 0.250 0.250 0.250
Th1 0.750 0.750 0.750


Entry 3:
The following is a PBE-GGA calculation of an optimized crystal structure of RbErW, from the Open Quantum Materials Database.

Results
The calculation puts the total energy at -3.94 eV per atom.

Unit cell a=5.283 b=5.283 c=5.283 alpha=60.00 beta=60.00 gamma=60.00
Element x y z (fractional)
Er1 0.000 0.000 0.000
Rb1 0.250 0.250 0.250
W1 0.750 0.750 0.750


Entry 4:
The following is a PBE-GGA calculation of an optimized crystal structure of Er8Re, from the Open Quantum Materials Database.

Results
The calculation puts the total energy at -5.39 eV per atom. For the formation energy, the calculation gives 0.05 eV/atom.

Unit cell a=8.950 b=8.950 c=3.670 alpha=90.00 beta=90.00 gamma=120.00
Element x y z (fractional)
Er1 0.634 0.000 0.000
Er2 0.366 0.366 0.000
Er3 0.000 0.634 0.000
Er4 0.247 0.000 0.500
Er5 0.000 0.247 0.500
Er6 0.667 0.333 0.500
Er7 0.333 0.667 0.500
Er8 0.753 0.753 0.500
Re1 0.000 0.000 0.000


Entry 5:
The following is a PBE-GGA calculation of an optimized crystal structure of Er3Sc3ReTe2, from the Open Quantum Materials Database.

Results
The calculation puts the total energy at -6.39 eV per atom.

Unit cell a=7.880 b=7.880 c=4.057 alpha=90.00 beta=90.00 gamma=120.00
Element x y z (fractional)
Er1 0.388 0.000 0.000
Er2 0.000 0.388 0.000
Er3 0.612 0.612 0.000
Re1 0.000 0.000 0.000
Sc1 0.769 0.000 0.500
Sc2 0.231 0.231 0.500
Sc3 0.000 0.769 0.500
Te1 0.667 0.333 0.500
Te2 0.333 0.667 0.500


Entry 6:
The following is a PBE-GGA calculation of an optimized crystal structure of Er3Sc3ReTe2, from the Open Quantum Materials Database.

Results
The calculation puts the total energy at -6.25 eV per atom.

Unit cell a=8.004 b=8.004 c=3.990 alpha=90.00 beta=90.00 gamma=120.00
Element x y z (fractional)
Er1 0.756 0.000 0.500
Er2 0.244 0.244 0.500
Er3 0.000 0.756 0.500
Re1 0.000 0.000 0.000
Sc1 0.386 0.000 0.000
Sc2 0.000 0.386 0.000
Sc3 0.614 0.614 0.000
Te1 0.667 0.333 0.500
Te2 0.333 0.667 0.500


Entry 7:
The following is a PBE-GGA calculation of an optimized crystal structure of Er2Re3Si5, from the Open Quantum Materials Database.

Results
The calculation puts the total energy at -7.93 eV per atom.

Unit cell a=10.975 b=10.975 c=5.483 alpha=90.00 beta=90.00 gamma=90.00
Element x y z (fractional)
Er1 0.763 0.078 0.000
Er2 0.078 0.237 0.000
Er3 0.922 0.763 0.000
Er4 0.237 0.922 0.000
Er5 0.578 0.263 0.500
Er6 0.263 0.422 0.500
Er7 0.737 0.578 0.500
Er8 0.422 0.737 0.500
Re1 0.377 0.353 0.000
Re2 0.647 0.377 0.000
Re3 0.353 0.623 0.000
Re4 0.623 0.647 0.000
Re5 0.500 0.000 0.250
Re6 0.000 0.500 0.250
Re7 0.147 0.123 0.500
Re8 0.877 0.147 0.500
Re9 0.123 0.853 0.500
Re10 0.853 0.877 0.500
Re11 0.500 0.000 0.750
Re12 0.000 0.500 0.750
Si1 0.529 0.186 0.000
Si2 0.186 0.471 0.000
Si3 0.814 0.529 0.000
Si4 0.471 0.814 0.000
Si5 0.000 0.000 0.239
Si6 0.327 0.173 0.250
Si7 0.827 0.327 0.250
Si8 0.173 0.673 0.250
Si9 0.673 0.827 0.250
Si10 0.500 0.500 0.261
Si11 0.686 0.029 0.500
Si12 0.029 0.314 0.500
Si13 0.971 0.686 0.500
Si14 0.314 0.971 0.500
Si15 0.500 0.500 0.739
Si16 0.327 0.173 0.750
Si17 0.827 0.327 0.750
Si18 0.173 0.673 0.750
Si19 0.673 0.827 0.750
Si20 0.000 0.000 0.761


Entry 8:
The following is a PBE-GGA calculation of an optimized crystal structure of ErRe4SiSn, from the Open Quantum Materials Database.

Results
The calculation puts the total energy at -9.32 eV per atom.

Unit cell a=4.124 b=7.734 c=7.734 alpha=31.23 beta=90.00 gamma=90.00
Element x y z (fractional)
Er1 0.000 0.981 0.981
Re1 0.500 0.203 0.203
Re2 0.000 0.308 0.308
Re3 0.000 0.708 0.708
Re4 0.500 0.813 0.813
Si1 0.500 0.406 0.406
Sn1 0.500 0.581 0.581


Entry 9:
The following is a PBE-GGA calculation of an optimized crystal structure of ErReSn, from the Open Quantum Materials Database.

Results
The calculation puts the total energy at -5.92 eV per atom.

Unit cell a=4.759 b=4.759 c=4.759 alpha=60.00 beta=60.00 gamma=60.00
Element x y z (fractional)
Er1 0.000 0.000 0.000
Re1 0.250 0.250 0.250
Sn1 0.750 0.750 0.750


Entry 10:
The following is a PBE-GGA calculation of an optimized crystal structure of Er2ReTc3, from the Open Quantum Materials Database.

Results
The calculation puts the total energy at -8.99 eV per atom. For the formation energy, the calculation gives -0.22 eV/atom.

Unit cell a=5.396 b=5.396 c=8.685 alpha=90.00 beta=90.00 gamma=120.00
Element x y z (fractional)
Er1 0.667 0.333 0.062
Er2 0.667 0.333 0.438
Er3 0.333 0.667 0.562
Er4 0.333 0.667 0.938
Re1 0.000 0.000 0.000
Re2 0.000 0.000 0.500
Tc1 0.171 0.342 0.250
Tc2 0.171 0.829 0.250
Tc3 0.658 0.829 0.250
Tc4 0.342 0.171 0.750
Tc5 0.829 0.171 0.750
Tc6 0.829 0.658 0.750


Entry 11:
The following is a PBE-GGA calculation of an optimized crystal structure of ErReTe, from the Open Quantum Materials Database.

Results
The calculation puts the total energy at -6.17 eV per atom.

Unit cell a=4.666 b=4.666 c=4.666 alpha=60.00 beta=60.00 gamma=60.00
Element x y z (fractional)
Er1 0.250 0.250 0.250
Re1 0.750 0.750 0.750
Te1 0.000 0.000 0.000


Entry 12:
The following is a PBE-GGA calculation of an optimized crystal structure of Er3Tm3ReTe2, from the Open Quantum Materials Database.

Results
The calculation puts the total energy at -5.72 eV per atom.

Unit cell a=8.172 b=8.172 c=4.124 alpha=90.00 beta=90.00 gamma=120.00
Element x y z (fractional)
Er1 0.384 0.000 0.000
Er2 0.000 0.384 0.000
Er3 0.616 0.616 0.000
Re1 0.000 0.000 0.000
Te1 0.667 0.333 0.500
Te2 0.333 0.667 0.500
Tm1 0.762 0.000 0.500
Tm2 0.238 0.238 0.500
Tm3 0.000 0.762 0.500


Entry 13:
The following is a PBE-GGA calculation of an optimized crystal structure of Er3Tm3ReTe2, from the Open Quantum Materials Database.

Results
The calculation puts the total energy at -5.70 eV per atom.

Unit cell a=8.177 b=8.177 c=4.125 alpha=90.00 beta=90.00 gamma=120.00
Element x y z (fractional)
Er1 0.762 0.000 0.500
Er2 0.238 0.238 0.500
Er3 0.000 0.762 0.500
Re1 0.000 0.000 0.000
Te1 0.667 0.333 0.500
Te2 0.333 0.667 0.500
Tm1 0.384 0.000 0.000
Tm2 0.000 0.384 0.000
Tm3 0.616 0.616 0.000


Entry 14:
The following is a PBE-GGA calculation of an optimized crystal structure of ErThRe, from the Open Quantum Materials Database.

Results
The calculation puts the total energy at -8.04 eV per atom. For the formation energy, the calculation gives 0.09 eV/atom.

Unit cell a=4.861 b=4.861 c=4.861 alpha=60.00 beta=60.00 gamma=60.00
Element x y z (fractional)
Er1 0.000 0.000 0.000
Re1 0.250 0.250 0.250
Th1 0.500 0.500 0.500


Entry 15:
The following is a PBE-GGA calculation of an optimized crystal structure of ErURe, from the Open Quantum Materials Database.

Results
The calculation puts the total energy at -8.96 eV per atom. For the formation energy, the calculation gives 0.47 eV/atom.

Unit cell a=4.718 b=4.718 c=4.718 alpha=60.00 beta=60.00 gamma=60.00
Element x y z (fractional)
Er1 0.000 0.000 0.000
Re1 0.250 0.250 0.250
U1 0.500 0.500 0.500


Entry 16:
The following is a PBE-GGA calculation of an optimized crystal structure of ErZnRe, from the Open Quantum Materials Database.

Results
The calculation puts the total energy at -5.50 eV per atom. For the formation energy, the calculation gives 0.59 eV/atom.

Unit cell a=4.415 b=4.415 c=4.415 alpha=60.00 beta=60.00 gamma=60.00
Element x y z (fractional)
Er1 0.250 0.250 0.250
Re1 0.750 0.750 0.750
Zn1 0.000 0.000 0.000


Entry 17:
The following is a PBE-GGA calculation of an optimized crystal structure of ErZnRe, from the Open Quantum Materials Database.

Results
The calculation puts the total energy at -4.84 eV per atom. For the formation energy, the calculation gives 1.24 eV/atom.

Unit cell a=4.634 b=4.634 c=4.634 alpha=60.00 beta=60.00 gamma=60.00
Element x y z (fractional)
Er1 0.000 0.000 0.000
Re1 0.250 0.250 0.250
Zn1 0.750 0.750 0.750


Entry 18:
The following is a PBE-GGA calculation of an optimized crystal structure of ErZrRe, from the Open Quantum Materials Database.

Results
The calculation puts the total energy at -7.70 eV per atom. For the formation energy, the calculation gives 0.82 eV/atom.

Unit cell a=4.627 b=4.627 c=4.627 alpha=60.00 beta=60.00 gamma=60.00
Element x y z (fractional)
Er1 0.250 0.250 0.250
Re1 0.750 0.750 0.750
Zr1 0.000 0.000 0.000


Entry 19:
The following is a PBE-GGA calculation of an optimized crystal structure of ErS, from the Open Quantum Materials Database.

Results
The calculation puts the total energy at -5.89 eV per atom.

Unit cell a=4.277 b=4.277 c=4.277 alpha=60.00 beta=60.00 gamma=60.00
Element x y z (fractional)
Er1 0.000 0.000 0.000
S1 0.250 0.250 0.250


Entry 20:
The following is a PBE-GGA calculation of an optimized crystal structure of Er2S3, from the Open Quantum Materials Database.

Results
The calculation puts the total energy at -6.36 eV per atom.

Unit cell a=10.924 b=3.899 c=11.190 alpha=90.00 beta=108.85 gamma=90.00
Element x y z (fractional)
Er1 0.661 0.750 0.084
Er2 0.067 0.250 0.168
Er3 0.456 0.250 0.309
Er4 0.817 0.250 0.497
Er5 0.183 0.750 0.503
Er6 0.544 0.750 0.691
Er7 0.933 0.750 0.832
Er8 0.339 0.250 0.916
S1 0.898 0.750 0.063
S2 0.418 0.750 0.099
S3 0.691 0.250 0.249
S4 0.246 0.750 0.277
S5 0.022 0.250 0.387
S6 0.610 0.750 0.463
S7 0.390 0.250 0.537
S8 0.978 0.750 0.613
S9 0.754 0.250 0.723
S10 0.309 0.750 0.751
S11 0.582 0.250 0.901
S12 0.102 0.250 0.937